1.
# Tb6NdDy3Y2

A relaxed Tb6NdDy3Y2 crystal (GGA-PBE, Alexandria via LeMat-Bulk).

Calculated total energy   -4.92 eV/atom
Formation energy from the elements   0.187 eV per formula unit
DOS(E_F)   1.29 states/eV/atom
SG   C2/m, No. 12
Total magnetic moment   0.0 μB/cell

Structure (extended XYZ):
```
12
Lattice="3.0902 -5.3466 0.0000 3.0902 5.3466 0.0000 -2.0427 0.0000 11.6563" Properties=species:S:1:pos:R:3 pbc="T T T"
Tb 0.0165 1.7818 8.7679
Tb 1.0312 0.0000 2.8905
Tb 0.0165 -1.7818 8.7679
Tb 4.1213 1.7818 2.8884
Tb 3.1066 0.0000 8.7658
Tb 4.1213 -1.7818 2.8884
Nd -1.0213 0.0000 5.8282
Dy 3.0902 3.5611 0.0000
Dy 3.0902 0.0000 0.0000
Dy 3.0902 -3.5611 0.0000
Y 2.0689 1.7825 5.8282
Y 2.0689 -1.7825 5.8282
```

2.
# Tb4NdDy2Y2

A relaxed Tb4NdDy2Y2 crystal (GGA-PBE, Alexandria via LeMat-Bulk).

Calculated total energy   -5.05 eV/atom
Formation energy from the elements   -0.005 eV per formula unit
DOS(E_F)   1.36 states/eV/atom
SG   C2/m, No. 12
Total magnetic moment   0.0 μB/cell

Structure (extended XYZ):
```
9
Lattice="9.3564 -1.8021 0.0000 9.3564 1.8021 0.0000 -4.1572 0.0000 8.6339" Properties=species:S:1:pos:R:3 pbc="T T T"
Tb -1.0432 0.0000 2.8884
Tb 3.1213 0.0000 5.7419
Tb 11.4344 0.0000 2.8920
Tb 15.5989 0.0000 5.7455
Nd 9.3564 0.0000 0.0000
Dy 3.1341 0.0000 0.0138
Dy 11.4216 0.0000 8.6202
Y 5.2040 0.0000 2.8774
Y 9.3517 0.0000 5.7565
```

3.
# Tb2Nd2DyY6

A relaxed Tb2Nd2DyY6 crystal (GGA-PBE, Alexandria via LeMat-Bulk).

Calculated total energy   -5.51 eV/atom
Formation energy from the elements   1.578 eV per formula unit
DOS(E_F)   1.70 states/eV/atom
SG   Cmmm, No. 65
Total magnetic moment   0.0 μB/cell

Structure (extended XYZ):
```
11
Lattice="2.8457 -6.0431 0.0000 2.8457 6.0431 0.0000 0.0000 0.0000 10.6499" Properties=species:S:1:pos:R:3 pbc="T T T"
Tb 2.8457 3.5463 0.0000
Tb 2.8457 -3.5463 0.0000
Nd 2.8457 4.4287 5.3250
Nd 2.8457 -4.4287 5.3250
Dy 2.8457 0.0000 0.0000
Y 0.0000 0.0000 2.1661
Y 0.0000 0.0000 8.4839
Y 2.8457 1.8444 3.0980
Y 2.8457 1.8444 7.5519
Y 2.8457 -1.8444 3.0980
Y 2.8457 -1.8444 7.5519
```

4.
# Tb4Nd2Dy2Y

A relaxed Tb4Nd2Dy2Y crystal (GGA-PBE, Alexandria via LeMat-Bulk).

Calculated total energy   -4.86 eV/atom
Formation energy from the elements   -0.007 eV per formula unit
DOS(E_F)   1.34 states/eV/atom
SG   C2/m, No. 12
Total magnetic moment   0.0 μB/cell

Structure (extended XYZ):
```
9
Lattice="9.3859 -1.8093 0.0000 9.3859 1.8093 0.0000 -4.1720 0.0000 8.6612" Properties=species:S:1:pos:R:3 pbc="T T T"
Tb -1.0391 0.0000 2.9088
Tb 3.1272 0.0000 5.7564
Tb 11.4727 0.0000 2.9048
Tb 15.6389 0.0000 5.7524
Nd -1.0498 0.0000 8.6466
Nd 15.6497 0.0000 0.0147
Dy 5.2171 0.0000 2.9138
Dy 9.3827 0.0000 5.7474
Y 9.3859 0.0000 0.0000
```

5.
# Tb2NdDy6Y3

A relaxed Tb2NdDy6Y3 crystal (GGA-PBE, Alexandria via LeMat-Bulk).

Calculated total energy   -5.07 eV/atom
Formation energy from the elements   0.212 eV per formula unit
DOS(E_F)   1.36 states/eV/atom
SG   C2/m, No. 12
Total magnetic moment   0.0 μB/cell

Structure (extended XYZ):
```
12
Lattice="3.0881 -5.3435 0.0000 3.0881 5.3435 0.0000 -2.0465 0.0000 11.6335" Properties=species:S:1:pos:R:3 pbc="T T T"
Tb 3.0881 3.5623 0.0000
Tb 3.0881 -3.5623 0.0000
Nd 3.0881 0.0000 0.0000
Dy 0.0031 1.7839 8.7168
Dy 1.0329 0.0000 2.9156
Dy 0.0031 -1.7839 8.7168
Dy 4.1266 1.7839 2.9168
Dy 3.0968 0.0000 8.7179
Dy 4.1266 -1.7839 2.9168
Y -1.0233 0.0000 5.8168
Y 2.0649 1.7836 5.8168
Y 2.0649 -1.7836 5.8168
```

6.
# Tb4Nd2DyY2

A relaxed Tb4Nd2DyY2 crystal (GGA-PBE, Alexandria via LeMat-Bulk).

Calculated total energy   -5.07 eV/atom
Formation energy from the elements   -0.020 eV per formula unit
DOS(E_F)   1.35 states/eV/atom
SG   C2/m, No. 12
Total magnetic moment   0.0 μB/cell

Structure (extended XYZ):
```
9
Lattice="9.3938 -1.8105 0.0000 9.3938 1.8105 0.0000 -4.1742 0.0000 8.6669" Properties=species:S:1:pos:R:3 pbc="T T T"
Tb -1.0369 0.0000 2.8926
Tb 3.1374 0.0000 5.7611
Tb 11.4759 0.0000 2.9058
Tb 15.6502 0.0000 5.7743
Nd -1.0626 0.0000 8.6662
Nd 15.6760 0.0000 0.0007
Dy 9.3938 0.0000 0.0000
Y 5.2294 0.0000 2.9194
Y 9.3839 0.0000 5.7475
```

7.
# Tb2Nd5DyY

A relaxed Tb2Nd5DyY crystal (GGA-PBE, Alexandria via LeMat-Bulk).

Calculated total energy   -4.76 eV/atom
Formation energy from the elements   1.300 eV per formula unit
DOS(E_F)   1.61 states/eV/atom
SG   Cmc2_1, No. 36
Total magnetic moment   0.0 μB/cell

Structure (extended XYZ):
```
18
Lattice="2.8388 -10.2639 0.0000 2.8388 10.2639 0.0000 0.0000 0.0000 10.6945" Properties=species:S:1:pos:R:3 pbc="T T T"
Tb 2.8388 7.9451 5.3473
Tb 2.8388 7.9016 0.7859
Tb 2.8388 -7.9016 6.1331
Tb 2.8388 -7.9451 0.0000
Nd 2.8388 9.9505 8.3423
Nd 2.8388 4.5428 0.8002
Nd 2.8388 4.1739 5.0232
Nd 2.8388 2.3507 8.3942
Nd 2.8388 0.3653 5.4182
Nd 2.8388 -0.3653 0.0709
Nd 2.8388 -2.3507 3.0469
Nd 2.8388 -4.1739 10.3705
Nd 2.8388 -4.5428 6.1475
Nd 2.8388 -9.9505 2.9950
Dy 2.8388 6.1743 8.2703
Dy 2.8388 -6.1743 2.9230
Y 2.8388 1.9029 2.4004
Y 2.8388 -1.9029 7.7477
```

8.
# Tb2Nd2Dy2Y

A relaxed Tb2Nd2Dy2Y crystal (GGA-PBE, Alexandria via LeMat-Bulk).

Calculated total energy   -4.84 eV/atom
Formation energy from the elements   0.601 eV per formula unit
DOS(E_F)   1.65 states/eV/atom
SG   C2/m, No. 12
Total magnetic moment   0.0 μB/cell

Structure (extended XYZ):
```
14
Lattice="11.7828 0.0000 0.0000 0.0000 3.5373 0.0000 -3.9197 0.0000 11.2201" Properties=species:S:1:pos:R:3 pbc="T T T"
Tb -0.4545 0.0000 3.0309
Tb 2.4262 1.7686 8.1892
Tb 5.4369 1.7686 3.0309
Tb 8.3176 0.0000 8.1892
Nd -0.2817 0.0000 6.5634
Nd 2.2534 1.7686 4.6568
Nd 5.6098 1.7686 6.5634
Nd 8.1448 0.0000 4.6568
Dy -0.7289 1.7686 9.6865
Dy 2.7006 0.0000 1.5336
Dy 5.1625 0.0000 9.6865
Dy 8.5920 1.7686 1.5336
Y 0.0000 1.7686 0.0000
Y 5.8914 0.0000 0.0000
```

Question: Which of these has the highest formation energy from the elements?
Answer: Tb2Nd2DyY6

Question: Among the records above, which one has the lowest formation energy from the elements?
Answer: Tb4Nd2DyY2